# Rb3CuSe2O8, relaxed, DFT PBE
data_Rb3CuSe2O8
_chemical_formula_sum 'Rb3 Cu1 Se2 O8'
_cell_length_a 5.9601
_cell_length_b 5.9601
_cell_length_c 7.8710
_cell_angle_alpha 90.00
_cell_angle_beta 90.00
_cell_angle_gamma 120.00
_symmetry_space_group_name_H-M 'P -3 m 1'
_symmetry_Int_Tables_number 164
_symmetry_space_group_name_Hall '-P 3 2"'
loop_
_atom_site_label
_atom_site_type_symbol
_atom_site_fract_x
_atom_site_fract_y
_atom_site_fract_z
_atom_site_occupancy
Rb1 Rb 0.0000 0.0000 0.0000 1
Rb2 Rb 0.3333 0.6667 0.6843 1
Cu1 Cu 0.0000 0.0000 0.5000 1
Se1 Se 0.3333 0.6667 0.2516 1
O1 O 0.1780 0.3560 0.3254 1
O2 O 0.3333 0.6667 0.0399 1
# - volume (Å³/atom) = 17.3
# - ΔE_f (raw) (kJ per mole of atoms) = -107

# Rb2TaSbI6, relaxed, DFT PBE
data_Rb2TaSbI6
_chemical_formula_sum 'Rb4 Ta2 Sb2 I12'
_cell_length_a 8.825
_cell_length_b 8.825
_cell_length_c 11.985
_cell_angle_alpha 90.00
_cell_angle_beta 90.00
_cell_angle_gamma 90.00
_symmetry_space_group_name_H-M 'I 4/m m m'
_symmetry_Int_Tables_number 139
_symmetry_space_group_name_Hall '-I 4 2'
loop_
_atom_site_label
_atom_site_type_symbol
_atom_site_fract_x
_atom_site_fract_y
_atom_site_fract_z
_atom_site_occupancy
Rb1 Rb 0.000 0.500 0.250 1
Ta1 Ta 0.000 0.000 0.000 1
Sb1 Sb 0.000 0.000 0.500 1
I1 I 0.000 0.000 0.239 1
I2 I 0.228 0.228 0.000 1
# - volume (Å³/atom) = 46.7
# - ΔE_f (raw) (kJ per mole of atoms) = -47
# - DOS(E_F) (states/eV per atom) = 1.00

# LiDyCd2, relaxed, DFT PBE
data_LiDyCd2
_chemical_formula_sum 'Li1 Dy1 Cd2'
_cell_length_a 3.445
_cell_length_b 3.445
_cell_length_c 7.504
_cell_angle_alpha 90.00
_cell_angle_beta 90.00
_cell_angle_gamma 90.00
_symmetry_space_group_name_H-M 'P 4/m m m'
_symmetry_Int_Tables_number 123
_symmetry_space_group_name_Hall '-P 4 2'
loop_
_atom_site_label
_atom_site_type_symbol
_atom_site_fract_x
_atom_site_fract_y
_atom_site_fract_z
_atom_site_occupancy
Li1 Li 0.000 0.000 0.000 1
Dy1 Dy 0.000 0.000 0.500 1
Cd1 Cd 0.500 0.500 0.212 1
# - formation energy (kJ/mol of formula units) = -102
# - volume (Å³/atom) = 22.3
# - energy above the most stable polymorph in this dataset (meV/atom) = 0.0
# - DOS(E_F) (states/eV per atom) = 0.87

# Tc2NiPtN, relaxed, DFT PBE
data_Tc2NiPtN
_chemical_formula_sum 'Tc2 Ni1 Pt1 N1'
_cell_length_a 4.006
_cell_length_b 4.006
_cell_length_c 3.933
_cell_angle_alpha 90.00
_cell_angle_beta 90.00
_cell_angle_gamma 90.00
_symmetry_space_group_name_H-M 'P 4/m m m'
_symmetry_Int_Tables_number 123
_symmetry_space_group_name_Hall '-P 4 2'
loop_
_atom_site_label
_atom_site_type_symbol
_atom_site_fract_x
_atom_site_fract_y
_atom_site_fract_z
_atom_site_occupancy
Tc1 Tc 0.000 0.500 0.000 1
Ni1 Ni 0.000 0.000 0.500 1
Pt1 Pt 0.500 0.500 0.500 1
N1 N 0.000 0.000 0.000 1
# - volume (Å³/atom) = 12.6
# - ΔE_f (raw) (kJ per mole of atoms) = 2
# - DOS(E_F) (states/eV per atom) = 1.19

# CoRuW2, relaxed, DFT PBE
data_CoRuW2
_chemical_formula_sum 'Co1 Ru1 W2'
_cell_length_a 3.863
_cell_length_b 3.863
_cell_length_c 3.793
_cell_angle_alpha 90.00
_cell_angle_beta 90.00
_cell_angle_gamma 90.00
_symmetry_space_group_name_H-M 'P 4/m m m'
_symmetry_Int_Tables_number 123
_symmetry_space_group_name_Hall '-P 4 2'
loop_
_atom_site_label
_atom_site_type_symbol
_atom_site_fract_x
_atom_site_fract_y
_atom_site_fract_z
_atom_site_occupancy
Co1 Co 0.000 0.000 0.000 1
Ru1 Ru 0.500 0.500 0.000 1
W1 W 0.000 0.500 0.500 1
# - formation energy (kJ/mol of formula units) = 15
# - volume (Å³/atom) = 14.2
# - energy above the most stable polymorph in this dataset (meV/atom) = 0.0
# - DOS(E_F) (states/eV per atom) = 0.81

# SiPtPb3, relaxed, DFT PBE
data_SiPtPb3
_chemical_formula_sum 'Si1 Pt1 Pb3'
_cell_length_a 5.255
_cell_length_b 5.255
_cell_length_c 5.255
_cell_angle_alpha 90.00
_cell_angle_beta 90.00
_cell_angle_gamma 90.00
_symmetry_space_group_name_H-M 'P m -3 m'
_symmetry_Int_Tables_number 221
_symmetry_space_group_name_Hall '-P 4 2 3'
loop_
_atom_site_label
_atom_site_type_symbol
_atom_site_fract_x
_atom_site_fract_y
_atom_site_fract_z
_atom_site_occupancy
Si1 Si 0.000 0.000 0.000 1
Pt1 Pt 0.500 0.500 0.500 1
Pb1 Pb 0.000 0.000 0.500 1
# - volume (Å³/atom) = 29.0
# - ΔE_f (raw) (kJ per mole of atoms) = 75
# - energy above the most stable polymorph in this dataset (meV/atom) = 288.0
# - DOS(E_F) (states/eV per atom) = 0.57

# EuPuAsCl, relaxed, DFT PBE
data_EuPuAsCl
_chemical_formula_sum 'Eu4 Pu4 As4 Cl4'
_cell_length_a 7.280
_cell_length_b 7.280
_cell_length_c 7.280
_cell_angle_alpha 90.00
_cell_angle_beta 90.00
_cell_angle_gamma 90.00
_symmetry_space_group_name_H-M 'F -4 3 m'
_symmetry_Int_Tables_number 216
_symmetry_space_group_name_Hall 'F -4 2 3'
loop_
_atom_site_label
_atom_site_type_symbol
_atom_site_fract_x
_atom_site_fract_y
_atom_site_fract_z
_atom_site_occupancy
Eu1 Eu 0.000 0.000 0.000 1
Pu1 Pu 0.000 0.000 0.500 1
As1 As 0.250 0.250 0.250 1
Cl1 Cl 0.250 0.250 0.750 1
# - volume (Å³/atom) = 24.1
# - ΔE_f (raw) (kJ per mole of atoms) = -115
# - DOS(E_F) (states/eV per atom) = 2.19

# HAuI4, relaxed, DFT PBE
data_HAuI4
_chemical_formula_sum 'H4 Au4 I16'
_cell_length_a 20.387
_cell_length_b 5.441
_cell_length_c 10.246
_cell_angle_alpha 90.00
_cell_angle_beta 104.34
_cell_angle_gamma 90.00
_symmetry_space_group_name_H-M 'C 1 2/m 1'
_symmetry_Int_Tables_number 12
_symmetry_space_group_name_Hall '-C 2y'
loop_
_atom_site_label
_atom_site_type_symbol
_atom_site_fract_x
_atom_site_fract_y
_atom_site_fract_z
_atom_site_occupancy
H1 H 0.234 0.000 0.163 1
Au1 Au 0.096 0.000 0.664 1
I1 I 0.014 0.000 0.249 1
I2 I 0.125 0.500 0.645 1
I3 I 0.158 0.000 0.060 1
I4 I 0.211 0.000 0.585 1
# - volume (Å³/atom) = 45.9
# - energy above the most stable polymorph in this dataset (meV/atom) = 0.0
# - DOS(E_F) (states/eV per atom) = 0.63

# ZrAl2AgPd, relaxed, DFT PBE
data_ZrAl2AgPd
_chemical_formula_sum 'Zr1 Al2 Ag1 Pd1'
_cell_length_a 4.600
_cell_length_b 4.600
_cell_length_c 4.974
_cell_angle_alpha 90.00
_cell_angle_beta 90.00
_cell_angle_gamma 90.00
_symmetry_space_group_name_H-M 'P 4/m m m'
_symmetry_Int_Tables_number 123
_symmetry_space_group_name_Hall '-P 4 2'
loop_
_atom_site_label
_atom_site_type_symbol
_atom_site_fract_x
_atom_site_fract_y
_atom_site_fract_z
_atom_site_occupancy
Zr1 Zr 0.000 0.000 0.000 1
Al1 Al 0.000 0.500 0.500 1
Ag1 Ag 0.500 0.500 0.000 1
Pd1 Pd 0.500 0.500 0.500 1
# - formation energy (kJ/mol of formula units) = 78
# - volume (Å³/atom) = 21.1
# - DOS(E_F) (states/eV per atom) = 0.68

# Sr2LiSi, relaxed, DFT PBE
data_Sr2LiSi
_chemical_formula_sum 'Sr4 Li2 Si2'
_cell_length_a 4.697
_cell_length_b 4.822
_cell_length_c 11.166
_cell_angle_alpha 90.00
_cell_angle_beta 90.00
_cell_angle_gamma 90.00
_symmetry_space_group_name_H-M 'A m m 2'
_symmetry_Int_Tables_number 38
_symmetry_space_group_name_Hall 'A 2 -2'
loop_
_atom_site_label
_atom_site_type_symbol
_atom_site_fract_x
_atom_site_fract_y
_atom_site_fract_z
_atom_site_occupancy
Sr1 Sr 0.000 0.000 0.000 1
Sr2 Sr 0.500 0.000 0.283 1
Li1 Li 0.000 0.000 0.679 1
Si1 Si 0.500 0.000 0.583 1
# - volume (Å³/atom) = 31.6
# - ΔE_f (raw) (kJ per mole of atoms) = -19
# - DOS(E_F) (states/eV per atom) = 0.71

# FeAsRhW2, relaxed, DFT PBE
data_FeAsRhW2
_chemical_formula_sum 'Fe1 As1 Rh1 W2'
_cell_length_a 4.423
_cell_length_b 4.423
_cell_length_c 4.571
_cell_angle_alpha 90.00
_cell_angle_beta 90.00
_cell_angle_gamma 90.00
_symmetry_space_group_name_H-M 'P 4/m m m'
_symmetry_Int_Tables_number 123
_symmetry_space_group_name_Hall '-P 4 2'
loop_
_atom_site_label
_atom_site_type_symbol
_atom_site_fract_x
_atom_site_fract_y
_atom_site_fract_z
_atom_site_occupancy
Fe1 Fe 0.000 0.000 0.000 1
As1 As 0.500 0.500 0.500 1
Rh1 Rh 0.000 0.000 0.500 1
W1 W 0.000 0.500 0.000 1
# - formation energy (kJ/mol of formula units) = 646
# - volume (Å³/atom) = 17.9
# - DOS(E_F) (states/eV per atom) = 1.13

# Tb2Pr3Er8, relaxed, DFT PBE
data_Tb2Pr3Er8
_chemical_formula_sum 'Tb4 Pr6 Er16'
_cell_length_a 22.652
_cell_length_b 5.545
_cell_length_c 6.819
_cell_angle_alpha 90.00
_cell_angle_beta 101.60
_cell_angle_gamma 90.00
_symmetry_space_group_name_H-M 'C 1 2/m 1'
_symmetry_Int_Tables_number 12
_symmetry_space_group_name_Hall '-C 2y'
loop_
_atom_site_label
_atom_site_type_symbol
_atom_site_fract_x
_atom_site_fract_y
_atom_site_fract_z
_atom_site_occupancy
Tb1 Tb 0.229 0.000 0.310 1
Pr1 Pr 0.000 0.000 0.500 1
Pr2 Pr 0.012 0.500 0.790 1
Er1 Er 0.077 0.000 0.093 1
Er2 Er 0.125 0.500 0.482 1
Er3 Er 0.168 0.500 0.020 1
Er4 Er 0.178 0.000 0.765 1
# - formation energy (kJ/mol of formula units) = 114
# - volume (Å³/atom) = 32.3
# - energy above the most stable polymorph in this dataset (meV/atom) = 0.0
# - DOS(E_F) (states/eV per atom) = 1.56

# Pr3PuPa2As6, relaxed, DFT PBE
data_Pr3PuPa2As6
_chemical_formula_sum 'Pr6 Pu2 Pa4 As12'
_cell_length_a 7.272
_cell_length_b 12.593
_cell_length_c 7.307
_cell_angle_alpha 90.00
_cell_angle_beta 109.37
_cell_angle_gamma 90.00
_symmetry_space_group_name_H-M 'C 1 2/m 1'
_symmetry_Int_Tables_number 12
_symmetry_space_group_name_Hall '-C 2y'
loop_
_atom_site_label
_atom_site_type_symbol
_atom_site_fract_x
_atom_site_fract_y
_atom_site_fract_z
_atom_site_occupancy
Pr1 Pr 0.000 0.000 0.000 1
Pr2 Pr 0.000 0.335 0.000 1
Pu1 Pu 0.000 0.500 0.500 1
Pa1 Pa 0.000 0.167 0.500 1
As1 As 0.240 0.000 0.734 1
As2 As 0.247 0.331 0.734 1
# - formation energy (kJ/mol of formula units) = -1488
# - volume (Å³/atom) = 26.3
# - DOS(E_F) (states/eV per atom) = 1.63

# AgTe2As, relaxed, DFT PBE
data_AgTe2As
_chemical_formula_sum 'Ag1 Te2 As1'
_cell_length_a 3.106
_cell_length_b 4.127
_cell_length_c 8.264
_cell_angle_alpha 90.00
_cell_angle_beta 90.97
_cell_angle_gamma 90.00
_symmetry_space_group_name_H-M 'P 1 2/m 1'
_symmetry_Int_Tables_number 10
_symmetry_space_group_name_Hall '-P 2y'
loop_
_atom_site_label
_atom_site_type_symbol
_atom_site_fract_x
_atom_site_fract_y
_atom_site_fract_z
_atom_site_occupancy
Ag1 Ag 0.000 0.000 0.000 1
Te1 Te 0.010 0.500 0.754 1
As1 As 0.000 0.000 0.500 1
# - volume (Å³/atom) = 26.5
# - ΔE_f (raw) (kJ per mole of atoms) = 9
# - DOS(E_F) (states/eV per atom) = 0.40

# Ca3ZnGe3, relaxed, DFT PBE
data_Ca3ZnGe3
_chemical_formula_sum 'Ca12 Zn4 Ge12'
_cell_length_a 10.796
_cell_length_b 4.537
_cell_length_c 14.256
_cell_angle_alpha 90.00
_cell_angle_beta 110.76
_cell_angle_gamma 90.00
_symmetry_space_group_name_H-M 'C 1 2/m 1'
_symmetry_Int_Tables_number 12
_symmetry_space_group_name_Hall '-C 2y'
loop_
_atom_site_label
_atom_site_type_symbol
_atom_site_fract_x
_atom_site_fract_y
_atom_site_fract_z
_atom_site_occupancy
Ca1 Ca 0.034 0.000 0.381 1
Ca2 Ca 0.099 0.000 0.922 1
Ca3 Ca 0.244 0.000 0.226 1
Zn1 Zn 0.243 0.500 0.397 1
Ge1 Ge 0.039 0.500 0.231 1
Ge2 Ge 0.113 0.500 0.076 1
Ge3 Ge 0.130 0.500 0.540 1
# - formation energy (kJ/mol of formula units) = -399
# - volume (Å³/atom) = 23.3
# - DOS(E_F) (states/eV per atom) = 0.26

# Dy3Sc2Cd3, relaxed, DFT PBE
data_Dy3Sc2Cd3
_chemical_formula_sum 'Dy6 Sc4 Cd6'
_cell_length_a 3.642
_cell_length_b 5.253
_cell_length_c 21.649
_cell_angle_alpha 90.00
_cell_angle_beta 90.00
_cell_angle_gamma 90.00
_symmetry_space_group_name_H-M 'I m m m'
_symmetry_Int_Tables_number 71
_symmetry_space_group_name_Hall '-I 2 2'
loop_
_atom_site_label
_atom_site_type_symbol
_atom_site_fract_x
_atom_site_fract_y
_atom_site_fract_z
_atom_site_occupancy
Dy1 Dy 0.000 0.000 0.000 1
Dy2 Dy 0.000 0.500 0.127 1
Sc1 Sc 0.000 0.000 0.236 1
Cd1 Cd 0.000 0.000 0.500 1
Cd2 Cd 0.000 0.500 0.376 1
# - formation energy (kJ/mol of formula units) = -169
# - volume (Å³/atom) = 25.9
# - DOS(E_F) (states/eV per atom) = 1.50

# VIn2Br, relaxed, DFT PBE
data_VIn2Br
_chemical_formula_sum 'V4 In8 Br4'
_cell_length_a 9.647
_cell_length_b 9.647
_cell_length_c 5.024
_cell_angle_alpha 90.00
_cell_angle_beta 90.00
_cell_angle_gamma 90.00
_symmetry_space_group_name_H-M 'I -4 2 d'
_symmetry_Int_Tables_number 122
_symmetry_space_group_name_Hall 'I -4 2bw'
loop_
_atom_site_label
_atom_site_type_symbol
_atom_site_fract_x
_atom_site_fract_y
_atom_site_fract_z
_atom_site_occupancy
V1 V 0.000 0.000 0.000 1
In1 In 0.152 0.250 0.125 1
Br1 Br 0.000 0.000 0.500 1
# - volume (Å³/atom) = 29.2
# - ΔE_f (raw) (kJ per mole of atoms) = 30
# - energy above the most stable polymorph in this dataset (meV/atom) = 0.0
# - DOS(E_F) (states/eV per atom) = 1.12

# VIr2Ru, relaxed, DFT PBE
data_VIr2Ru
_chemical_formula_sum 'V1 Ir2 Ru1'
_cell_length_a 3.820
_cell_length_b 3.820
_cell_length_c 3.841
_cell_angle_alpha 90.00
_cell_angle_beta 90.00
_cell_angle_gamma 90.00
_symmetry_space_group_name_H-M 'P 4/m m m'
_symmetry_Int_Tables_number 123
_symmetry_space_group_name_Hall '-P 4 2'
loop_
_atom_site_label
_atom_site_type_symbol
_atom_site_fract_x
_atom_site_fract_y
_atom_site_fract_z
_atom_site_occupancy
V1 V 0.000 0.000 0.000 1
Ir1 Ir 0.000 0.500 0.500 1
Ru1 Ru 0.500 0.500 0.000 1
# - formation energy (kJ/mol of formula units) = -152
# - volume (Å³/atom) = 14.0
# - energy above the most stable polymorph in this dataset (meV/atom) = 0.0
# - DOS(E_F) (states/eV per atom) = 0.55

# Mg2MnInN, relaxed, DFT PBE
data_Mg2MnInN
_chemical_formula_sum 'Mg2 Mn1 In1 N1'
_cell_length_a 4.496
_cell_length_b 4.496
_cell_length_c 3.702
_cell_angle_alpha 90.00
_cell_angle_beta 90.00
_cell_angle_gamma 90.00
_symmetry_space_group_name_H-M 'P 4/m m m'
_symmetry_Int_Tables_number 123
_symmetry_space_group_name_Hall '-P 4 2'
loop_
_atom_site_label
_atom_site_type_symbol
_atom_site_fract_x
_atom_site_fract_y
_atom_site_fract_z
_atom_site_occupancy
Mg1 Mg 0.000 0.500 0.000 1
Mn1 Mn 0.000 0.000 0.500 1
In1 In 0.500 0.500 0.500 1
N1 N 0.000 0.000 0.000 1
# - volume (Å³/atom) = 15.0
# - ΔE_f (raw) (kJ per mole of atoms) = -16
# - DOS(E_F) (states/eV per atom) = 0.46

# ThGeBiAu, relaxed, DFT PBE
data_ThGeBiAu
_chemical_formula_sum 'Th4 Ge4 Bi4 Au4'
_cell_length_a 7.367
_cell_length_b 7.367
_cell_length_c 7.367
_cell_angle_alpha 90.00
_cell_angle_beta 90.00
_cell_angle_gamma 90.00
_symmetry_space_group_name_H-M 'F -4 3 m'
_symmetry_Int_Tables_number 216
_symmetry_space_group_name_Hall 'F -4 2 3'
loop_
_atom_site_label
_atom_site_type_symbol
_atom_site_fract_x
_atom_site_fract_y
_atom_site_fract_z
_atom_site_occupancy
Th1 Th 0.000 0.000 0.000 1
Ge1 Ge 0.250 0.250 0.250 1
Bi1 Bi 0.000 0.000 0.500 1
Au1 Au 0.250 0.250 0.750 1
# - formation energy (kJ/mol of formula units) = -120
# - volume (Å³/atom) = 25.0
# - DOS(E_F) (states/eV per atom) = 0.74

| no. | magnetization (Bohr magnetons per cell) |
| --- | --- |
| 1 | 0.1 |
| 2 | 8.0 |
| 3 | 0.1 |
| 4 | 0.3 |
| 5 | 0.0 |
| 6 | 0.0 |
| 7 | 52.0 |
| 8 | 0.0 |
| 9 | 0.0 |
| 10 | 0.1 |
| 11 | 0.0 |
| 12 | 0.0 |
| 13 | 12.1 |
| 14 | 0.0 |
| 15 | 0.0 |
| 16 | 0.0 |
| 17 | 12.8 |
| 18 | 0.0 |
| 19 | 0.2 |
| 20 | 0.0 |